[1]
DFT (PBE) results for a relaxed structure of Pr4Si2Br5.

abc: 11.9501 11.9501 8.4305
angles: 94.98 94.98 20.38
Fractional coordinates of all 11 atoms:
Pr 0.0125 0.0125 0.2832
Pr 0.3395 0.3395 0.5424
Pr 0.6605 0.6605 0.4576
Pr 0.9875 0.9875 0.7168
Si 0.4518 0.4518 0.4651
Si 0.5482 0.5482 0.5349
Br 0.1383 0.1383 0.2071
Br 0.2166 0.2166 0.6762
Br 0.5000 0.5000 0.0000
Br 0.7834 0.7834 0.3238
Br 0.8617 0.8617 0.7929

Calculated values
Magnetization = 0.0 μB/f.u.
Symmetry = C2/m, No. 12
Total energy = -4.8025 eV per atom
N(E_F) = 3.39 states/eV/f.u.


[2]
DFT (PBE) results for a relaxed structure of LaPm2SmH.

abc: 5.1603 5.1603 5.1577
angles: 90.00 90.00 90.00
Fractional coordinates of all 5 atoms:
La 0.0000 0.0000 0.0000
Pm 0.0000 0.5000 0.5000
Pm 0.5000 0.0000 0.5000
Sm 0.5000 0.5000 0.0000
H 0.5000 0.5000 0.5000

Calculated values
Magnetization = 0.0 μB/f.u.
Symmetry = P4/mmm, No. 123
Total energy = -4.6770 eV per atom
N(E_F) = 4.28 states/eV/f.u.


[3]
DFT (PBE) results for a relaxed structure of TbFeGe2Ru.

abc: 5.8791 5.8791 5.8791
angles: 139.22 139.22 59.05
Fractional coordinates of all 5 atoms:
Tb 0.0000 0.0000 0.0000
Fe 0.7500 0.2500 0.5000
Ge 0.3742 0.3742 0.0000
Ge 0.6258 0.6258 0.0000
Ru 0.2500 0.7500 0.5000

Calculated values
Magnetization = 1.2 μB/f.u.
Symmetry = I-4m2, No. 119
Energy of formation = -2.7 eV/f.u.
N(E_F) = 5.18 states/eV/f.u.